Record 1
Hf2ScP after structural relaxation. Source: Alexandria via LeMat-Bulk, functional PBEsol.

CIF file:
```
data_Hf2ScP
_chemical_formula_sum 'Hf8 Sc4 P4'
_cell_length_a 7.796
_cell_length_b 7.796
_cell_length_c 5.397
_cell_angle_alpha 90.00
_cell_angle_beta 90.00
_cell_angle_gamma 90.00
_symmetry_space_group_name_H-M 'I -4 2 d'
_symmetry_Int_Tables_number 122
_symmetry_space_group_name_Hall 'I -4 2bw'
loop_
_atom_site_label
_atom_site_type_symbol
_atom_site_fract_x
_atom_site_fract_y
_atom_site_fract_z
Hf1 Hf 0.188 0.750 0.125
Sc1 Sc 0.000 0.000 0.500
P1 P 0.000 0.000 0.000
```

Computed properties:
Energy of formation from the pure elements ... -116 kJ/mol of formula units



Record 2
CdInGa2 after structural relaxation. Source: Alexandria via LeMat-Bulk, functional PBEsol.

CIF file:
```
data_CdInGa2
_chemical_formula_sum 'Cd4 In4 Ga8'
_cell_length_a 6.937
_cell_length_b 6.937
_cell_length_c 6.937
_cell_angle_alpha 90.00
_cell_angle_beta 90.00
_cell_angle_gamma 90.00
_symmetry_space_group_name_H-M 'F m -3 m'
_symmetry_Int_Tables_number 225
_symmetry_space_group_name_Hall '-F 4 2 3'
loop_
_atom_site_label
_atom_site_type_symbol
_atom_site_fract_x
_atom_site_fract_y
_atom_site_fract_z
Cd1 Cd 0.000 0.000 0.000
In1 In 0.000 0.000 0.500
Ga1 Ga 0.250 0.250 0.250
```

Computed properties:
Energy of formation from the pure elements ... 28 kJ/mol of formula units



Record 3
AlIr2Pb after structural relaxation. Source: Alexandria via LeMat-Bulk, functional PBEsol.

CIF file:
```
data_AlIr2Pb
_chemical_formula_sum 'Al4 Ir8 Pb4'
_cell_length_a 6.373
_cell_length_b 6.373
_cell_length_c 6.373
_cell_angle_alpha 90.00
_cell_angle_beta 90.00
_cell_angle_gamma 90.00
_symmetry_space_group_name_H-M 'F m -3 m'
_symmetry_Int_Tables_number 225
_symmetry_space_group_name_Hall '-F 4 2 3'
loop_
_atom_site_label
_atom_site_type_symbol
_atom_site_fract_x
_atom_site_fract_y
_atom_site_fract_z
Al1 Al 0.000 0.000 0.000
Ir1 Ir 0.250 0.250 0.250
Pb1 Pb 0.000 0.000 0.500
```

Computed properties:
Energy relative to the lowest polymorph listed for this composition ... 8 kJ/mol of formula units
Energy of formation from the pure elements ... 34 kJ/mol of formula units



- Which of these has the highest energy of formation from the pure elements?
  AlIr2Pb



Copy entry 3 word for word.
AlIr2Pb after structural relaxation. Source: Alexandria via LeMat-Bulk, functional PBEsol.

CIF file:
```
data_AlIr2Pb
_chemical_formula_sum 'Al4 Ir8 Pb4'
_cell_length_a 6.373
_cell_length_b 6.373
_cell_length_c 6.373
_cell_angle_alpha 90.00
_cell_angle_beta 90.00
_cell_angle_gamma 90.00
_symmetry_space_group_name_H-M 'F m -3 m'
_symmetry_Int_Tables_number 225
_symmetry_space_group_name_Hall '-F 4 2 3'
loop_
_atom_site_label
_atom_site_type_symbol
_atom_site_fract_x
_atom_site_fract_y
_atom_site_fract_z
Al1 Al 0.000 0.000 0.000
Ir1 Ir 0.250 0.250 0.250
Pb1 Pb 0.000 0.000 0.500
```

Computed properties:
Energy relative to the lowest polymorph listed for this composition ... 8 kJ/mol of formula units
Energy of formation from the pure elements ... 34 kJ/mol of formula units



- What is the energy of formation from the pure elements in the third record?
  34 kJ/mol of formula units



What did the third record say?
AlIr2Pb after structural relaxation. Source: Alexandria via LeMat-Bulk, functional PBEsol.

CIF file:
```
data_AlIr2Pb
_chemical_formula_sum 'Al4 Ir8 Pb4'
_cell_length_a 6.373
_cell_length_b 6.373
_cell_length_c 6.373
_cell_angle_alpha 90.00
_cell_angle_beta 90.00
_cell_angle_gamma 90.00
_symmetry_space_group_name_H-M 'F m -3 m'
_symmetry_Int_Tables_number 225
_symmetry_space_group_name_Hall '-F 4 2 3'
loop_
_atom_site_label
_atom_site_type_symbol
_atom_site_fract_x
_atom_site_fract_y
_atom_site_fract_z
Al1 Al 0.000 0.000 0.000
Ir1 Ir 0.250 0.250 0.250
Pb1 Pb 0.000 0.000 0.500
```

Computed properties:
Energy relative to the lowest polymorph listed for this composition ... 8 kJ/mol of formula units
Energy of formation from the pure elements ... 34 kJ/mol of formula units